Tl3In2Bi2Pb4: relaxed, PBE.

The energy relative to the elements is 0.052 eV/atom. For the total magnetization, the calculation gives 0.00 μB/atom.

It has space group P-3m1 (No. 164), with a = 5.6014 Å, b = 5.6014 Å, c = 13.1548 Å, α = 90.00°, β = 90.00° and γ = 120.00°. The distinct sites, in fractional coordinates, are Tl at (0.0000, 0.0000, 0.0000), Tl at (0.0000, 0.0000, 0.2785), In at (0.3333, 0.6667, 0.6495), Bi at (0.3333, 0.6667, 0.1526), Pb at (0.3333, 0.6667, 0.4060) and Pb at (0.3333, 0.6667, 0.8952).

MoC2: relaxed, PBE.

The energy relative to the elements is 0.803 eV/atom. For the total magnetization, the calculation gives 0.00 μB/atom. The distance to the lowest polymorph of the same formula is 0.2844 eV/atom.

It has space group Pnma (No. 62), with a = 5.0154 Å, b = 2.6109 Å, c = 8.1892 Å, α = 90.00°, β = 90.00° and γ = 90.00°. The distinct sites, in fractional coordinates, are Mo at (0.1909, 0.2500, 0.1021), C at (0.1023, 0.7500, 0.3438) and C at (0.2462, 0.7500, 0.8741).

AcTa3O9: relaxed, PBE.

For the total magnetization, the calculation gives 0.00 μB/atom. As for the raw formation energy: -3050.3 meV/atom.

It has space group P2_1/m (No. 11), with a = 5.6460 Å, b = 7.7519 Å, c = 8.3050 Å, α = 90.00°, β = 92.32° and γ = 90.00°. The distinct sites, in fractional coordinates, are Ac at (0.0317, 0.2500, 0.4281), Ta at (0.0000, 0.0000, 0.0000), Ta at (0.4760, 0.0069, 0.6988), O at (0.0629, 0.2500, 0.9927), O at (0.1673, 0.5421, 0.7925), O at (0.2738, 0.5317, 0.4700), O at (0.3042, 0.5357, 0.1289), O at (0.3775, 0.2500, 0.6680) and O at (0.4632, 0.2500, 0.3134).